Version one
# La3Au5

A relaxed structure of La3Au5 (PBE, the Alexandria database).

abc: 9.0409 9.0409 6.2588
angles: 90.00 90.00 120.00
Space group P6_3/mcm (No. 193)
Symmetry-distinct sites (fractional):
La (0.0000, 0.3458, 0.2500) (multiplicity 6)
Au (0.0000, 0.3223, 0.7500) (multiplicity 6)
Au (0.3333, 0.6667, 0.0000) (multiplicity 4)

Version two
# La3Au5

A relaxed structure of La3Au5 (PBE, the Alexandria database).

abc: 6.1082 17.9480 14.9452
angles: 90.00 90.00 90.00
Space group Fdd2 (No. 43)
Symmetry-distinct sites (fractional):
La (0.0000, 0.0000, 0.0000) (multiplicity 8)
La (0.0476, 0.1675, 0.5091) (multiplicity 16)
Au (0.0000, 0.0000, 0.4455) (multiplicity 8)
Au (0.0375, 0.1642, 0.0862) (multiplicity 16)
Au (0.0915, 0.1920, 0.8977) (multiplicity 16)

Version three
# La3Au5

A relaxed structure of La3Au5 (PBE, the Alexandria database).

abc: 7.5015 10.4614 5.2056
angles: 90.00 90.00 90.00
Space group Cmmm (No. 65)
Symmetry-distinct sites (fractional):
La (0.0000, 0.0000, 0.0000) (multiplicity 2)
La (0.0000, 0.3003, 0.5000) (multiplicity 4)
Au (0.0000, 0.5000, 0.0000) (multiplicity 2)
Au (0.2021, 0.0000, 0.5000) (multiplicity 4)
Au (0.2500, 0.2500, 0.0000) (multiplicity 4)

Version four
# La3Au5

A relaxed structure of La3Au5 (PBE, the Alexandria database).

abc: 6.1279 16.6009 8.2688
angles: 90.00 106.34 90.00
Space group C2/m (No. 12)
Symmetry-distinct sites (fractional):
La (0.0000, 0.1632, 0.0000) (multiplicity 4)
La (0.0000, 0.2243, 0.5000) (multiplicity 4)
La (0.2288, 0.0000, 0.7028) (multiplicity 4)
Au (0.0753, 0.3294, 0.1850) (multiplicity 8)
Au (0.2294, 0.4050, 0.6233) (multiplicity 8)
Au (0.2416, 0.5000, 0.9231) (multiplicity 4)

Stability summary: most stable version two, least stable version one.

Version one
# La4Au

A relaxed structure of La4Au (PBE, the Alexandria database).

abc: 12.9530 14.8352 6.9131
angles: 90.00 90.00 90.00
Space group Fdd2 (No. 43)
Symmetry-distinct sites (fractional):
La (0.0729, 0.1104, 0.0000) (multiplicity 16)
La (0.0786, 0.1939, 0.5361) (multiplicity 16)
Au (0.0000, 0.0000, 0.6045) (multiplicity 8)

Version two
# La4Au

A relaxed structure of La4Au (PBE, the Alexandria database).

abc: 3.8219 3.8219 22.3910
angles: 90.00 90.00 90.00
Space group I4/mmm (No. 139)
Symmetry-distinct sites (fractional):
La (0.0000, 0.0000, 0.0807) (multiplicity 4)
La (0.0000, 0.0000, 0.3054) (multiplicity 4)
Au (0.0000, 0.0000, 0.5000) (multiplicity 2)

Version three
# La4Au

A relaxed structure of La4Au (PBE, the Alexandria database).

abc: 7.1844 7.1844 7.1844
angles: 90.00 90.00 90.00
Space group Im-3m (No. 229)
Symmetry-distinct sites (fractional):
La (0.2500, 0.2500, 0.2500) (multiplicity 8)
Au (0.0000, 0.0000, 0.0000) (multiplicity 2)

Version four
# La4Au

A relaxed structure of La4Au (PBE, the Alexandria database).

abc: 5.8750 5.8750 5.8750
angles: 90.00 90.00 90.00
Space group Pm-3m (No. 221)
Symmetry-distinct sites (fractional):
La (0.0000, 0.0000, 0.0000) (multiplicity 1)
La (0.0000, 0.5000, 0.5000) (multiplicity 3)
Au (0.5000, 0.5000, 0.5000) (multiplicity 1)

Stability summary: most stable version two, least stable version three.

Version one
# La4Au

A relaxed structure of La4Au (PBE, the Alexandria database).

abc: 5.3284 12.5238 10.2242
angles: 90.00 90.00 90.00
Space group Cmme (No. 67)
Symmetry-distinct sites (fractional):
La (0.0000, 0.1044, 0.1358) (multiplicity 8)
La (0.0000, 0.1099, 0.6135) (multiplicity 8)
Au (0.0000, 0.2500, 0.8736) (multiplicity 4)

Version two
# La4Au

A relaxed structure of La4Au (PBE, the Alexandria database).

abc: 4.1975 4.1975 19.6776
angles: 90.00 90.00 90.00
Space group I4/mmm (No. 139)
Symmetry-distinct sites (fractional):
La (0.0000, 0.0000, 0.0786) (multiplicity 4)
La (0.0000, 0.5000, 0.2500) (multiplicity 4)
Au (0.0000, 0.0000, 0.5000) (multiplicity 2)

Stability summary: most stable version one, least stable version two.

Version one
# La4Au

A relaxed structure of La4Au (PBE, the Alexandria database).

abc: 3.8228 3.8228 40.5231
angles: 90.00 90.00 120.00
Space group R-3m (No. 166, hexagonal axes)
Symmetry-distinct sites (fractional):
La (0.0000, 0.0000, 0.1122) (multiplicity 6)
La (0.0000, 0.0000, 0.2955) (multiplicity 6)
Au (0.0000, 0.0000, 0.5000) (multiplicity 3)

Version two
# La4Au

A relaxed structure of La4Au (PBE, the Alexandria database).

abc: 9.2775 9.2775 3.8467
angles: 90.00 90.00 90.00
Space group I4/m (No. 87)
Symmetry-distinct sites (fractional):
La (0.0799, 0.7308, 0.0000) (multiplicity 8)
Au (0.0000, 0.0000, 0.5000) (multiplicity 2)

Stability summary: most stable version two, least stable version one.

Version one
# La2Au3

A relaxed structure of La2Au3 (PBE, the Alexandria database).

abc: 3.9062 3.9062 17.1576
angles: 90.00 90.00 90.00
Space group I4/mmm (No. 139)
Symmetry-distinct sites (fractional):
La (0.0000, 0.0000, 0.1725) (multiplicity 4)
Au (0.0000, 0.0000, 0.0000) (multiplicity 2)
Au (0.0000, 0.0000, 0.4154) (multiplicity 4)

Version two
# La2Au3

A relaxed structure of La2Au3 (PBE, the Alexandria database).

abc: 3.8507 28.8468 4.7287
angles: 90.00 90.00 90.00
Space group Cmcm (No. 63)
Symmetry-distinct sites (fractional):
La (0.0000, 0.0709, 0.2500) (multiplicity 4)
La (0.0000, 0.2030, 0.7500) (multiplicity 4)
Au (0.0000, 0.3184, 0.7500) (multiplicity 4)
Au (0.0000, 0.3806, 0.2500) (multiplicity 4)
Au (0.0000, 0.4759, 0.2500) (multiplicity 4)

Stability summary: most stable version two, least stable version one.

Version one
# La2Au3

A relaxed structure of La2Au3 (PBE, the Alexandria database).

abc: 5.1998 5.1998 17.2130
angles: 90.00 90.00 120.00
Space group R-3m (No. 166, hexagonal axes)
Symmetry-distinct sites (fractional):
La (0.0000, 0.0000, 0.2455) (multiplicity 6)
Au (0.0000, 0.0000, 0.0000) (multiplicity 3)
Au (0.0000, 0.0000, 0.4188) (multiplicity 6)

Version two
# La2Au3

A relaxed structure of La2Au3 (PBE, the Alexandria database).

abc: 11.0431 15.3189 6.0474
angles: 90.00 90.00 90.00
Space group Fdd2 (No. 43)
Symmetry-distinct sites (fractional):
La (0.0826, 0.1976, 0.0000) (multiplicity 16)
Au (0.0000, 0.0000, 0.1469) (multiplicity 8)
Au (0.0669, 0.1232, 0.5125) (multiplicity 16)

Version three
# La2Au3

A relaxed structure of La2Au3 (PBE, the Alexandria database).

abc: 10.4387 10.4387 10.4387
angles: 90.00 90.00 90.00
Space group I-43d (No. 220)
Symmetry-distinct sites (fractional):
La (0.0384, 0.0384, 0.0384) (multiplicity 16)
Au (0.0000, 0.2500, 0.2401) (multiplicity 24)

Version four
# La2Au3

A relaxed structure of La2Au3 (PBE, the Alexandria database).

abc: 3.8730 3.8730 16.9621
angles: 90.00 90.00 90.00
Space group I4/mmm (No. 139)
Symmetry-distinct sites (fractional):
La (0.0000, 0.0000, 0.1118) (multiplicity 4)
Au (0.0000, 0.0000, 0.2976) (multiplicity 4)
Au (0.0000, 0.0000, 0.5000) (multiplicity 2)

Stability summary: most stable version four, least stable version three.

Version one
# La2Au3

A relaxed structure of La2Au3 (PBE, the Alexandria database).

abc: 4.7621 4.7621 20.6917
angles: 90.00 90.00 120.00
Space group R-3m (No. 166, hexagonal axes)
Symmetry-distinct sites (fractional):
La (0.0000, 0.0000, 0.0865) (multiplicity 6)
Au (0.0000, 0.0000, 0.3341) (multiplicity 6)
Au (0.0000, 0.0000, 0.5000) (multiplicity 3)

Version two
# La2Au3

A relaxed structure of La2Au3 (PBE, the Alexandria database).

abc: 5.1942 5.1942 6.1940
angles: 90.00 90.00 120.00
Space group P-3m1 (No. 164)
Symmetry-distinct sites (fractional):
La (0.3333, 0.6667, 0.2430) (multiplicity 2)
Au (0.0000, 0.0000, 0.5000) (multiplicity 1)
Au (0.3333, 0.6667, 0.7387) (multiplicity 2)

Stability summary: most stable version one, least stable version two.